# NiO4

A relaxed NiO4 crystal (PBE+U, Alexandria).

Cell: 3.8131 3.8131 3.8131 Å, 90.00 90.00 90.00°
Last column: nearest neighbours and their distance in Å.
Fractional coordinates of all 5 atoms:
1 Ni 0.0000 0.0000 0.0000  6 O 1.91
2 O 0.0000 0.0000 0.5000  2 Ni 1.91
3 O 0.0000 0.5000 0.0000  2 Ni 1.91
4 O 0.5000 0.0000 0.0000  2 Ni 1.91
5 O 0.5000 0.5000 0.5000  12 O 2.70

Results
- E (eV/atom) = -3.62